1.
A plane-wave DFT calculation with PBEsol was carried out for crystalline Cd2AsCl at its relaxed geometry.

a = 2.947 Å, b = 5.024 Å, c = 5.606 Å
α = 90.00°, β = 90.00°, γ = 90.00°
Fractional positions:
Cd 0.000 0.000 0.000
Cd 0.500 0.500 0.000
As 0.000 0.500 0.500
Cl 0.500 0.000 0.500

Calculated values
The uncorrected formation energy comes out at 37 kJ/mol of formula units. The total moment is 0.000 μB per formula unit. As for the total energy: -2.2824 eV per atom.

2.
A plane-wave DFT calculation with PBEsol was carried out for crystalline CdAs2Cl at its relaxed geometry.

a = 6.369 Å, b = 3.665 Å, c = 8.258 Å
α = 90.00°, β = 104.76°, γ = 90.00°
Fractional positions:
Cd 0.000 0.000 0.000
Cd 0.500 0.500 0.000
As 0.249 0.500 0.253
As 0.474 0.000 0.427
As 0.749 0.000 0.253
As 0.974 0.500 0.427
Cl 0.268 0.000 0.803
Cl 0.768 0.500 0.803

Calculated values
The uncorrected formation energy comes out at -94 kJ/mol of formula units. The total moment is 0.000 μB per formula unit. As for the total energy: -3.5975 eV per atom.

3.
A plane-wave DFT calculation with PBEsol was carried out for crystalline Cd2AsCl at its relaxed geometry.

a = 5.364 Å, b = 4.597 Å, c = 8.026 Å
α = 90.00°, β = 90.00°, γ = 90.00°
Fractional positions:
Cd 0.000 0.000 0.000
Cd 0.000 0.500 0.500
Cd 0.500 0.000 0.331
Cd 0.500 0.500 0.831
As 0.500 0.000 0.999
As 0.500 0.500 0.499
Cl 0.000 0.000 0.668
Cl 0.000 0.500 0.168

Calculated values
The uncorrected formation energy comes out at -126 kJ/mol of formula units. The total moment is 0.000 μB per formula unit. As for the total energy: -2.7046 eV per atom.